SiHgF3 | GGA-PBE | optimized geometry

a b c (Å): 4.552 4.552 4.552
angles (deg): 90.00 90.00 90.00
Site moments in Bohr magnetons follow the coordinates.
Fractional coordinates of all 5 atoms:
Hg1 0.000 0.000 0.000  0.04
F1 0.000 0.000 0.500  0.03
F2 0.500 0.000 0.000  0.02
F3 0.000 0.500 0.000  0.01
Si1 0.500 0.500 0.500  0.29

Summary:
The value obtained for the formation energy from raw total energies is -638.0 meV per atom. For the offset from the most stable computed form, the calculation gives 782 meV/atom. As for the space group: Pm-3m, No. 221. Its crystal system is cubic. Its theoretical density is 5.03 g/cm3.